First-principles (PBE) data for a relaxed structure of LiTbPmZn, as listed in the Alexandria database.

Output
As for the energy of formation from the pure elements: -0.1208 eV per atom. Its space group is P4mm (99). For the excess energy over the best structure of this formula in the dataset, the calculation gives 0 meV/atom.

extended XYZ file:
```
4
Lattice="3.680 0.000 0.000 0.000 3.680 0.000 0.000 0.000 7.406" Properties=species:S:1:pos:R:3 pbc="T T T"
Li 0.000 0.000 0.000
Tb 1.840 1.840 1.929
Pm 1.840 1.840 5.378
Zn 0.000 0.000 3.588
```

First-principles (PBE) data for a relaxed structure of LiTbPmZn, as listed in the Alexandria database.

Output
As for the energy of formation from the pure elements: -0.1121 eV per atom. Its space group is F-43m (216). For the excess energy over the best structure of this formula in the dataset, the calculation gives 9 meV/atom.

extended XYZ file:
```
4
Lattice="0.000 3.663 3.663 3.663 0.000 3.663 3.663 3.663 0.000" Properties=species:S:1:pos:R:3 pbc="T T T"
Li 0.000 0.000 0.000
Tb 5.494 5.494 5.494
Pm 1.831 1.831 1.831
Zn 3.663 3.663 3.663
```

First-principles (PBE) data for a relaxed structure of LiPmTiTc, as listed in the Alexandria database.

Output
As for the energy of formation from the pure elements: 0.0731 eV per atom. Its space group is F-43m (216).

extended XYZ file:
```
4
Lattice="0.000 3.338 3.338 3.338 0.000 3.338 3.338 3.338 0.000" Properties=species:S:1:pos:R:3 pbc="T T T"
Li 0.000 0.000 0.000
Pm 5.007 5.007 5.007
Ti 1.669 1.669 1.669
Tc 3.338 3.338 3.338
```

First-principles (PBE) data for a relaxed structure of LiPmZrTc, as listed in the Alexandria database.

Output
As for the energy of formation from the pure elements: -0.0129 eV per atom. Its space group is F-43m (216).

extended XYZ file:
```
4
Lattice="0.000 3.432 3.432 3.432 0.000 3.432 3.432 3.432 0.000" Properties=species:S:1:pos:R:3 pbc="T T T"
Li 0.000 0.000 0.000
Pm 5.148 5.148 5.148
Zr 1.716 1.716 1.716
Tc 3.432 3.432 3.432
```

First-principles (PBE) data for a relaxed structure of LiPm4Te4, as listed in the Alexandria database.

Output
For the formation energy (no corrections), the calculation gives -1.190 eV/atom. Its space group is P4_2/nmc (137).

extended XYZ file:
```
18
Lattice="9.188 0.000 0.000 0.000 9.188 0.000 0.000 0.000 6.245" Properties=species:S:1:pos:R:3 pbc="T T T"
Li 2.297 6.891 1.561
Li 6.891 2.297 4.684
Pm 0.422 2.297 0.039
Pm 2.297 0.422 3.161
Pm 2.297 4.172 3.161
Pm 4.172 2.297 0.039
Pm 5.016 6.891 6.206
Pm 6.891 5.016 3.083
Pm 6.891 8.767 3.083
Pm 8.767 6.891 6.206
Te 0.239 6.891 3.128
Te 2.297 4.833 6.239
Te 2.297 8.949 6.239
Te 4.355 6.891 3.128
Te 4.833 2.297 3.117
Te 6.891 0.239 0.005
Te 6.891 4.355 0.005
Te 8.949 2.297 3.117
```

First-principles (PBE) data for a relaxed structure of Li2PmTe2, as listed in the Alexandria database.

Output
For the formation energy (no corrections), the calculation gives -1.036 eV/atom. Its space group is C2/m (12).

extended XYZ file:
```
5
Lattice="3.425 -2.649 0.000 3.425 2.649 0.000 -1.726 0.000 7.034" Properties=species:S:1:pos:R:3 pbc="T T T"
Li 3.425 1.349 0.000
Li 3.425 -1.349 0.000
Pm -0.863 0.000 3.517
Te 1.753 0.000 1.733
Te 3.372 0.000 5.301
```

Calculated values (states/eV/f.u.) of DOS at the Fermi energy for the records, taken in order: 4.613, 5.782, 2.270, 2.019, 6.686, 2.280.
Calculated values (eV/atom) of calculated total energy for the records, taken in order: -3.263, -3.254, -6.158, -6.408, -4.911, -4.008.